A plane-wave DFT calculation with PBE was carried out for K3U3BiSe8 after structural relaxation.

The crystal system is monoclinic. For the density of states at the Fermi level, the calculation gives 29.97 states/eV per cell. The theoretical density comes out at 5.78 Mg/m³. The calculation puts the raw formation energy at -1.12 eV/atom. The total energy comes out at -5.710 eV per atom.

abc: 14.5993 8.4235 9.2122
angles: 90.00 121.94 90.00
Space group C2/m (No. 12)
Unique sites:
K (0.0000, 0.0000, 0.0000)
K (0.2500, 0.2500, 0.0000)
U (0.0000, 0.5000, 0.5000)
U (0.2500, 0.2500, 0.5000)
Bi (0.0000, 0.0000, 0.5000)
Se (0.0168, 0.2579, 0.2928)
Se (0.2356, 0.5000, 0.7070)
Se (0.2409, 0.0000, 0.7076)


A plane-wave DFT calculation with PBE was carried out for K2U2BiSe6 after structural relaxation.

The crystal system is monoclinic. For the density of states at the Fermi level, the calculation gives 24.40 states/eV per cell. The theoretical density comes out at 5.64 Mg/m³. The calculation puts the raw formation energy at -1.08 eV/atom. The total energy comes out at -5.581 eV per atom.

abc: 7.2973 12.6898 8.2111
angles: 90.00 106.61 90.00
Space group C2/m (No. 12)
Unique sites:
K (0.0000, 0.1634, 0.0000)
U (0.0000, 0.3341, 0.5000)
Bi (0.0000, 0.0000, 0.5000)
Se (0.2236, 0.5000, 0.7050)
Se (0.2360, 0.1718, 0.7028)


A plane-wave DFT calculation with PBE was carried out for K3VBi3Se8 after structural relaxation.

The crystal system is trigonal. For the density of states at the Fermi level, the calculation gives 9.16 states/eV per cell. The theoretical density comes out at 4.98 Mg/m³. The calculation puts the raw formation energy at -0.73 eV/atom. The total energy comes out at -4.196 eV per atom.

abc: 8.3344 8.3344 23.7113
angles: 90.00 90.00 120.00
Space group R-3m (No. 166, hexagonal axes)
Unique sites:
K (0.0000, 0.5000, 0.0000)
V (0.0000, 0.0000, 0.5000)
Bi (0.0000, 0.5000, 0.5000)
Se (0.0000, 0.0000, 0.2388)
Se (0.0389, 0.5194, 0.2290)


A plane-wave DFT calculation with PBE was carried out for K2YBiSe after structural relaxation.

The crystal system is tetragonal. For the density of states at the Fermi level, the calculation gives 7.62 states/eV per cell. The theoretical density comes out at 3.04 Mg/m³. The calculation puts the raw formation energy at 0.44 eV/atom. The total energy comes out at -2.769 eV per atom.

abc: 6.5980 6.5980 5.7130
angles: 90.00 90.00 90.00
Space group P4/mmm (No. 123)
Unique sites:
K (0.0000, 0.5000, 0.0000)
Y (0.0000, 0.0000, 0.5000)
Bi (0.5000, 0.5000, 0.0000)
Se (0.5000, 0.5000, 0.5000)


A plane-wave DFT calculation with PBE was carried out for K3Y3BiSe8 after structural relaxation.

The crystal system is trigonal. For the density of states at the Fermi level, the calculation gives 18.57 states/eV per cell. The theoretical density comes out at 4.29 Mg/m³. The calculation puts the raw formation energy at -1.44 eV/atom. The total energy comes out at -5.072 eV per atom.

abc: 8.3576 8.3576 23.5142
angles: 90.00 90.00 120.00
Space group R-3m (No. 166, hexagonal axes)
Unique sites:
K (0.0000, 0.5000, 0.0000)
Y (0.0000, 0.5000, 0.5000)
Bi (0.0000, 0.0000, 0.5000)
Se (0.0000, 0.0000, 0.2348)
Se (0.0034, 0.5017, 0.7650)


A plane-wave DFT calculation with PBE was carried out for K3Y2BiSe6 after structural relaxation.

The crystal system is monoclinic. For the density of states at the Fermi level, the calculation gives 0.00 states/eV per cell. The theoretical density comes out at 4.48 Mg/m³. The calculation puts the raw formation energy at -1.45 eV/atom. The total energy comes out at -4.868 eV per atom.

abc: 7.3753 12.7736 8.0724
angles: 90.00 107.74 90.00
Space group C2/m (No. 12)
Unique sites:
K (0.0000, 0.0000, 0.0000)
K (0.0000, 0.3358, 0.0000)
Y (0.0000, 0.1670, 0.5000)
Bi (0.0000, 0.5000, 0.5000)
Se (0.2283, 0.0000, 0.7068)
Se (0.2395, 0.3297, 0.7074)